The following is a DFT calculation (GGA-PBE) of a relaxed structure of ScAl2Br.

Calculated values
- Energy: -3.54 eV/atom
- Formation energy without anion corrections: 0.329 eV/atom
- Space-group type: Fm-3m, No. 225
- Density: 3.25 g/cm³

Cell: 5.0562 5.0562 5.0562 Å, 60.00 60.00 60.00°
Positions (direct):
Br 0.5000 0.5000 0.5000
Al 0.7500 0.7500 0.7500
Al 0.2500 0.2500 0.2500
Sc 0.0000 0.0000 0.0000

***

The following is a DFT calculation (GGA-PBE) of a relaxed structure of Sc2AlBr.

Calculated values
- Energy: -4.31 eV/atom
- Formation energy without anion corrections: 0.207 eV/atom
- Space-group type: F-43m, No. 216
- Density: 3.68 g/cm³

Cell: 5.0097 5.0097 5.0097 Å, 60.00 60.00 60.00°
Positions (direct):
Sc 0.0000 0.0000 0.0000
Br 0.7500 0.7500 0.7500
Al 0.5000 0.5000 0.5000
Sc 0.2500 0.2500 0.2500

***

The following is a DFT calculation (GGA-PBE) of a relaxed structure of ScAl2Br.

Calculated values
- Energy: -3.76 eV/atom
- Formation energy without anion corrections: 0.112 eV/atom
- Space-group type: I-42d, No. 122
- Density: 3.24 g/cm³

Cell: 8.1872 8.1872 6.4043 Å, 50.27 50.27 90.00°
Positions (direct):
Al 0.6190 0.1250 0.2500
Br 0.7500 0.2500 0.5000
Al 0.3750 0.3810 0.7500
Al 0.8750 0.8690 0.7500
Al 0.1310 0.6250 0.2500
Sc 0.5000 0.5000 0.0000
Br 0.0000 0.0000 0.0000
Sc 0.2500 0.7500 0.5000

***

The following is a DFT calculation (GGA-PBE) of a relaxed structure of Sc2AlBr.

Calculated values
- Energy: -5.15 eV/atom
- Formation energy without anion corrections: -0.626 eV/atom
- Space-group type: Pmmm, No. 47
- Density: 3.60 g/cm³

Cell: 3.3267 3.4108 7.9957 Å, 90.01 90.00 90.00°
Positions (direct):
Br 0.5000 0.7500 0.7500
Sc 0.0000 0.7503 0.4642
Al 0.5000 0.2500 0.2500
Sc 0.0000 0.7497 0.0358

***

Please write out number 3 again, unchanged.
The following is a DFT calculation (GGA-PBE) of a relaxed structure of ScAl2Br.

Calculated values
- Energy: -3.76 eV/atom
- Formation energy without anion corrections: 0.112 eV/atom
- Space-group type: I-42d, No. 122
- Density: 3.24 g/cm³

Cell: 8.1872 8.1872 6.4043 Å, 50.27 50.27 90.00°
Positions (direct):
Al 0.6190 0.1250 0.2500
Br 0.7500 0.2500 0.5000
Al 0.3750 0.3810 0.7500
Al 0.8750 0.8690 0.7500
Al 0.1310 0.6250 0.2500
Sc 0.5000 0.5000 0.0000
Br 0.0000 0.0000 0.0000
Sc 0.2500 0.7500 0.5000